Below is a relaxed CoPbSO crystal, with properties calculated at the GGA+U level.

```
CoPbSO
1.0
7.3098 0.0000 0.0000
0.0000 7.3502 0.0000
0.0000 0.0000 11.9338
Co O Pb S
8 8 8 8
Cartesian
3.1158 2.2758 0.7133 Co
0.5391 5.9510 0.7133 Co
6.7707 2.2758 5.2536 Co
4.1941 5.9510 5.2536 Co
3.1158 1.3993 6.6801 Co
0.5391 5.0744 6.6801 Co
6.7707 1.3993 11.2205 Co
4.1941 5.0744 11.2205 Co
3.3976 1.9813 2.5979 O
0.2573 5.6564 2.5979 O
7.0525 1.9813 3.3690 O
3.9122 5.6564 3.3690 O
3.3976 1.6938 8.5648 O
0.2573 5.3690 8.5648 O
7.0525 1.6938 9.3359 O
3.9122 5.3690 9.3359 O
5.1714 0.4560 2.7291 Pb
5.7933 4.1311 2.7291 Pb
1.5165 0.4560 3.2378 Pb
2.1384 4.1311 3.2378 Pb
5.1714 3.2191 8.6960 Pb
5.7933 6.8942 8.6960 Pb
1.5165 3.2191 9.2047 Pb
2.1384 6.8942 9.2047 Pb
1.5274 0.6978 0.1203 S
2.1275 4.3729 0.1203 S
5.1824 0.6978 5.8466 S
5.7824 4.3729 5.8466 S
1.5274 2.9773 6.0871 S
2.1275 6.6524 6.0871 S
5.1824 2.9773 11.8135 S
5.7824 6.6524 11.8135 S
```

Values from the calculation:
excess energy over the best structure of this formula in the dataset = 121.0 meV/atom
uncorrected energy = -5.085 eV per atom